# 1
RbLiAs3: optimized geometry, GGA-PBE.

abc: 4.9056 4.9056 4.9056
angles: 90.00 90.00 90.00
Fractional positions:
As (0.0000, 0.5000, 0.0000)
As (0.0000, 0.0000, 0.5000)
As (0.5000, 0.0000, 0.0000)
Rb (0.5000, 0.5000, 0.5000)
Li (0.0000, 0.0000, 0.0000)

Results
magnetic moment: 0.000 μB/atom
DFT formation energy: 200 meV/atom



# 2
Y2In2Re: optimized geometry, GGA-PBE.

abc: 7.4042 7.4042 4.3936
angles: 90.00 90.00 90.00
Fractional positions:
Y (0.1768, 0.6768, 0.5000)
Y (0.6768, 0.8232, 0.5000)
Y (0.8232, 0.3232, 0.5000)
Y (0.3232, 0.1768, 0.5000)
Re (0.0000, 0.0000, 0.0000)
Re (0.5000, 0.5000, 0.0000)
In (0.3638, 0.8638, 0.0000)
In (0.8638, 0.6362, 0.0000)
In (0.6362, 0.1362, 0.0000)
In (0.1362, 0.3638, 0.0000)

Results
magnetic moment: 0.000 μB/atom
DFT formation energy: 89 meV/atom



# 3
ErSi2Ni: optimized geometry, GGA-PBE.

abc: 3.8776 6.7562 9.8799
angles: 90.00 90.00 90.00
Fractional positions:
Er (0.7500, 0.6507, 0.6264)
Er (0.2500, 0.8493, 0.1264)
Er (0.2500, 0.3493, 0.3736)
Er (0.7500, 0.1507, 0.8736)
Si (0.7500, 0.1859, 0.5700)
Si (0.2500, 0.3141, 0.0700)
Si (0.2500, 0.8141, 0.4300)
Si (0.7500, 0.6859, 0.9300)
Si (0.7500, 0.6618, 0.3233)
Si (0.2500, 0.8382, 0.8233)
Si (0.2500, 0.3382, 0.6767)
Si (0.7500, 0.1618, 0.1767)
Ni (0.7500, 0.9974, 0.3747)
Ni (0.2500, 0.5026, 0.8747)
Ni (0.2500, 0.0026, 0.6253)
Ni (0.7500, 0.4974, 0.1253)

Results
magnetic moment: 0.000 μB/atom
final energy: -97.269 eV per cell



Copy entry 2 word for word.
Y2In2Re: optimized geometry, GGA-PBE.

abc: 7.4042 7.4042 4.3936
angles: 90.00 90.00 90.00
Fractional positions:
Y (0.1768, 0.6768, 0.5000)
Y (0.6768, 0.8232, 0.5000)
Y (0.8232, 0.3232, 0.5000)
Y (0.3232, 0.1768, 0.5000)
Re (0.0000, 0.0000, 0.0000)
Re (0.5000, 0.5000, 0.0000)
In (0.3638, 0.8638, 0.0000)
In (0.8638, 0.6362, 0.0000)
In (0.6362, 0.1362, 0.0000)
In (0.1362, 0.3638, 0.0000)

Results
magnetic moment: 0.000 μB/atom
DFT formation energy: 89 meV/atom



Q: Look up the magnetic moment of the first one.
A: 0.000 μB/atom